The following is a DFT calculation (PBE+U) of a relaxed structure of MoPbWO6.

Electronic total energy, eV per atom: -6.9412

```
MoPbWO6
1.0
-4.9964 0.2230 0.6045
0.3725 -2.8568 4.1327
1.0256 8.0820 5.4943
O W Mo Pb
12 2 2 2
Direct
0.6664 0.6664 0.9935 O
0.7681 0.2319 0.8059 O
0.2840 0.2840 0.7001 O
0.3336 0.3336 0.9935 O
0.7840 0.2160 0.2001 O
0.7160 0.7160 0.7001 O
0.7319 0.7319 0.3059 O
0.8336 0.1664 0.4935 O
0.2681 0.2681 0.3059 O
0.2319 0.7681 0.8059 O
0.1664 0.8336 0.4935 O
0.2160 0.7840 0.2001 O
0.5000 0.5000 0.8330 W
0.0000 0.0000 0.3330 W
0.0000 0.0000 0.6697 Mo
0.5000 0.5000 0.1697 Mo
0.0000 0.0000 0.9982 Pb
0.5000 0.5000 0.4982 Pb
```